The following is a DFT calculation (GGA-PBEsol) of a relaxed Tc2IrRh crystal.

VASP energy in eV/cell: -38.7
Formation enthalpy at 0 K in eV per atom: 0.4424
Magnetization in Bohr magnetons per cell: 0.00
Energy relative to the lowest polymorph listed for this composition in eV per atom: 0.702

a = 4.3144 Å, b = 4.3144 Å, c = 4.3144 Å
α = 60.00°, β = 60.00°, γ = 60.00°
Closest atoms and distances in Å follow each position.
Element x y z (fractional)
Tc1 0.2500 0.2500 0.2500  4 Rh 2.64, 4 Ir 2.64
Tc2 0.7500 0.7500 0.7500  4 Ir 2.64, 4 Rh 2.64
Ir1 0.0000 0.0000 0.0000  8 Tc 2.64
Rh1 0.5000 0.5000 0.5000  8 Tc 2.64